Entry 1:
First-principles (PBE-GGA) data for a geometry-optimized ZnNi structure, as listed in Alexandria via LeMat-Bulk.

Space group: I4/m, No. 87
Crystal system: tetragonal
E_form, eV per atom: -0.140

abc: 6.403 6.403 6.403
angles: 92.42 92.42 156.30
Positions (direct):
Zn1 0.136 0.171 0.307
Zn2 0.171 0.864 0.034
Zn3 0.829 0.136 0.966
Zn4 0.864 0.829 0.693
Ni1 0.164 0.465 0.629
Ni2 0.465 0.836 0.301
Ni3 0.535 0.164 0.699
Ni4 0.836 0.535 0.371


Entry 2:
First-principles (PBE-GGA) data for a geometry-optimized Zn3Ni structure, as listed in Alexandria via LeMat-Bulk.

Space group: Pmmm, No. 47
Crystal system: orthorhombic
E_form, eV per atom: -0.120

abc: 2.730 3.662 5.334
angles: 90.00 90.00 90.00
Positions (direct):
Zn1 0.000 0.000 0.000
Zn2 0.500 0.500 0.266
Zn3 0.500 0.500 0.734
Ni1 0.000 0.000 0.500


Entry 3:
First-principles (PBE-GGA) data for a geometry-optimized Zn3Ni2 structure, as listed in Alexandria via LeMat-Bulk.

Space group: C2/m, No. 12
Crystal system: monoclinic
E_form, eV per atom: -0.180

abc: 4.084 4.084 4.943
angles: 114.08 114.08 60.13
Positions (direct):
Zn1 0.000 0.000 0.000
Zn2 0.207 0.207 0.619
Zn3 0.793 0.793 0.381
Ni1 0.399 0.399 0.199
Ni2 0.601 0.601 0.801


Entry 4:
First-principles (PBE-GGA) data for a geometry-optimized Zn2Ni structure, as listed in Alexandria via LeMat-Bulk.

Space group: I4_1/amd, No. 141
Crystal system: tetragonal
E_form, eV per atom: -0.181

abc: 11.520 11.520 11.520
angles: 161.50 161.50 26.28
Positions (direct):
Zn1 0.124 0.374 0.750
Zn2 0.288 0.538 0.750
Zn3 0.374 0.124 0.250
Zn4 0.462 0.712 0.750
Zn5 0.538 0.288 0.250
Zn6 0.626 0.876 0.750
Zn7 0.712 0.462 0.250
Zn8 0.876 0.626 0.250
Ni1 0.044 0.794 0.250
Ni2 0.206 0.956 0.250
Ni3 0.794 0.044 0.750
Ni4 0.956 0.206 0.750


Entry 5:
First-principles (PBE-GGA) data for a geometry-optimized Zn2Ni structure, as listed in Alexandria via LeMat-Bulk.

Space group: Immm, No. 71
Crystal system: orthorhombic
E_form, eV per atom: -0.066

abc: 4.325 4.325 4.325
angles: 144.14 119.62 72.26
Positions (direct):
Zn1 0.187 0.187 0.000
Zn2 0.813 0.813 0.000
Ni1 0.500 0.000 0.500


Entry 6:
First-principles (PBE-GGA) data for a geometry-optimized ZnNi structure, as listed in Alexandria via LeMat-Bulk.

Space group: P4/nmm, No. 129
Crystal system: tetragonal
E_form, eV per atom: -0.102

abc: 2.663 2.663 7.033
angles: 90.00 90.00 90.00
Positions (direct):
Zn1 0.250 0.250 0.148
Zn2 0.750 0.750 0.852
Ni1 0.250 0.250 0.615
Ni2 0.750 0.750 0.385


Entry 7:
First-principles (PBE-GGA) data for a geometry-optimized Zn13Ni2 structure, as listed in Alexandria via LeMat-Bulk.

Space group: P-1, No. 2
Crystal system: triclinic
E_form, eV per atom: -0.073

abc: 4.656 6.951 7.142
angles: 104.86 103.01 91.28
Positions (direct):
Zn1 0.000 0.000 0.000
Zn2 0.154 0.730 0.481
Zn3 0.198 0.641 0.097
Zn4 0.256 0.128 0.756
Zn5 0.291 0.068 0.379
Zn6 0.377 0.448 0.637
Zn7 0.460 0.795 0.873
Zn8 0.540 0.205 0.127
Zn9 0.623 0.552 0.363
Zn10 0.709 0.932 0.621
Zn11 0.744 0.872 0.244
Zn12 0.802 0.359 0.903
Zn13 0.846 0.270 0.519
Ni1 0.083 0.362 0.254
Ni2 0.917 0.638 0.746


Entry 8:
First-principles (PBE-GGA) data for a geometry-optimized Zn5Ni3 structure, as listed in Alexandria via LeMat-Bulk.

Space group: Cmmm, No. 65
Crystal system: orthorhombic
E_form, eV per atom: -0.190
Energy above the most stable polymorph in this dataset, meV/atom: 5

abc: 5.144 5.144 3.831
angles: 90.00 90.00 90.46
Positions (direct):
Zn1 0.000 0.000 0.000
Zn2 0.000 0.500 0.000
Zn3 0.278 0.722 0.500
Zn4 0.500 0.000 0.000
Zn5 0.722 0.278 0.500
Ni1 0.228 0.228 0.500
Ni2 0.500 0.500 0.000
Ni3 0.772 0.772 0.500


Entry 9:
First-principles (PBE-GGA) data for a geometry-optimized Zn3Ni structure, as listed in Alexandria via LeMat-Bulk.

Space group: P4/mmm, No. 123
Crystal system: tetragonal
E_form, eV per atom: -0.114

abc: 2.734 2.734 7.265
angles: 90.00 90.00 90.00
Positions (direct):
Zn1 0.000 0.000 0.000
Zn2 0.500 0.500 0.277
Zn3 0.500 0.500 0.723
Ni1 0.000 0.000 0.500


Entry 10:
First-principles (PBE-GGA) data for a geometry-optimized Zn2Ni13 structure, as listed in Alexandria via LeMat-Bulk.

Space group: R-3m, No. 166
Crystal system: trigonal
E_form, eV per atom: 0.396

abc: 6.515 6.515 6.515
angles: 60.35 60.35 60.35
Positions (direct):
Zn1 0.237 0.237 0.237
Zn2 0.763 0.763 0.763
Ni1 0.016 0.016 0.659
Ni2 0.016 0.659 0.016
Ni3 0.244 0.244 0.612
Ni4 0.244 0.612 0.244
Ni5 0.341 0.984 0.984
Ni6 0.388 0.756 0.756
Ni7 0.500 0.500 0.500
Ni8 0.612 0.244 0.244
Ni9 0.659 0.016 0.016
Ni10 0.756 0.388 0.756
Ni11 0.756 0.756 0.388
Ni12 0.984 0.341 0.984
Ni13 0.984 0.984 0.341


Entry 11:
First-principles (PBE-GGA) data for a geometry-optimized Zn2Ni structure, as listed in Alexandria via LeMat-Bulk.

Space group: P-62m, No. 189
Crystal system: hexagonal
E_form, eV per atom: -0.147

abc: 7.149 7.149 2.638
angles: 90.00 90.00 120.00
Positions (direct):
Zn1 0.000 0.299 0.000
Zn2 0.000 0.630 0.500
Zn3 0.299 0.000 0.000
Zn4 0.370 0.370 0.500
Zn5 0.630 0.000 0.500
Zn6 0.701 0.701 0.000
Ni1 0.000 0.000 0.500
Ni2 0.333 0.667 0.000
Ni3 0.667 0.333 0.000


Entry 12:
First-principles (PBE-GGA) data for a geometry-optimized ZnNi structure, as listed in Alexandria via LeMat-Bulk.

Space group: P6_3/mmc, No. 194
Crystal system: hexagonal
E_form, eV per atom: 0.490

abc: 4.101 4.101 4.734
angles: 90.00 90.00 120.00
Positions (direct):
Zn1 0.333 0.667 0.250
Zn2 0.667 0.333 0.750
Ni1 0.333 0.667 0.750
Ni2 0.667 0.333 0.250


Entry 13:
First-principles (PBE-GGA) data for a geometry-optimized Zn7Ni structure, as listed in Alexandria via LeMat-Bulk.

Space group: Fm-3m, No. 225
Crystal system: cubic
E_form, eV per atom: -0.051

abc: 5.405 5.405 5.405
angles: 60.00 60.00 60.00
Positions (direct):
Zn1 0.000 0.000 0.000
Zn2 0.000 0.000 0.500
Zn3 0.000 0.500 0.000
Zn4 0.000 0.500 0.500
Zn5 0.500 0.000 0.000
Zn6 0.500 0.000 0.500
Zn7 0.500 0.500 0.000
Ni1 0.500 0.500 0.500


Entry 14:
First-principles (PBE-GGA) data for a geometry-optimized ZnNi structure, as listed in Alexandria via LeMat-Bulk.

Space group: P6_3/mmc, No. 194
Crystal system: hexagonal
E_form, eV per atom: -0.139

abc: 2.642 2.642 8.109
angles: 90.00 90.00 120.00
Positions (direct):
Zn1 0.000 0.000 0.000
Zn2 0.000 0.000 0.500
Ni1 0.333 0.667 0.250
Ni2 0.667 0.333 0.750


Entry 15:
First-principles (PBE-GGA) data for a geometry-optimized ZnNi4 structure, as listed in Alexandria via LeMat-Bulk.

Space group: P4/mbm, No. 127
Crystal system: tetragonal
E_form, eV per atom: 0.541
Energy above the most stable polymorph in this dataset, meV/atom: 629

abc: 8.244 8.244 4.421
angles: 90.00 90.00 90.00
Positions (direct):
Zn1 0.125 0.375 0.000
Zn2 0.375 0.875 0.000
Zn3 0.625 0.125 0.000
Zn4 0.875 0.625 0.000
Ni1 0.000 0.000 0.232
Ni2 0.000 0.000 0.768
Ni3 0.102 0.602 0.500
Ni4 0.105 0.207 0.500
Ni5 0.207 0.895 0.500
Ni6 0.293 0.395 0.500
Ni7 0.395 0.707 0.500
Ni8 0.398 0.102 0.500
Ni9 0.500 0.500 0.232
Ni10 0.500 0.500 0.768
Ni11 0.602 0.898 0.500
Ni12 0.605 0.293 0.500
Ni13 0.707 0.605 0.500
Ni14 0.793 0.105 0.500
Ni15 0.895 0.793 0.500
Ni16 0.898 0.398 0.500


Entry 16:
First-principles (PBE-GGA) data for a geometry-optimized ZnNi4 structure, as listed in Alexandria via LeMat-Bulk.

Space group: I4/m, No. 87
Crystal system: tetragonal
E_form, eV per atom: -0.088
Energy above the most stable polymorph in this dataset, meV/atom: 0

abc: 4.364 4.364 4.364
angles: 99.59 99.59 131.82
Positions (direct):
Zn1 0.000 0.000 0.000
Ni1 0.196 0.401 0.597
Ni2 0.401 0.804 0.204
Ni3 0.599 0.196 0.796
Ni4 0.804 0.599 0.403


Entry 17:
First-principles (PBE-GGA) data for a geometry-optimized Zn2Ni5 structure, as listed in Alexandria via LeMat-Bulk.

Space group: Cccm, No. 66
Crystal system: orthorhombic
E_form, eV per atom: -0.063

abc: 6.263 6.263 5.045
angles: 90.00 90.00 121.81
Positions (direct):
Zn1 0.088 0.298 0.000
Zn2 0.298 0.088 0.500
Zn3 0.702 0.912 0.500
Zn4 0.912 0.702 0.000
Ni1 0.097 0.345 0.500
Ni2 0.271 0.729 0.250
Ni3 0.271 0.729 0.750
Ni4 0.345 0.097 0.000
Ni5 0.500 0.500 0.250
Ni6 0.500 0.500 0.750
Ni7 0.655 0.903 0.000
Ni8 0.729 0.271 0.250
Ni9 0.729 0.271 0.750
Ni10 0.903 0.655 0.500


Entry 18:
First-principles (PBE-GGA) data for a geometry-optimized Zn3Ni structure, as listed in Alexandria via LeMat-Bulk.

Space group: R-3m, No. 166
Crystal system: trigonal
E_form, eV per atom: -0.058

abc: 8.705 8.705 8.705
angles: 17.92 17.92 17.92
Positions (direct):
Zn1 0.000 0.000 0.000
Zn2 0.243 0.243 0.243
Zn3 0.757 0.757 0.757
Ni1 0.500 0.500 0.500


Entry 19:
First-principles (PBE-GGA) data for a geometry-optimized ZnNi structure, as listed in Alexandria via LeMat-Bulk.

Space group: Amm2, No. 38
Crystal system: orthorhombic
E_form, eV per atom: -0.165

abc: 2.675 6.752 6.752
angles: 142.97 90.00 90.00
Positions (direct):
Zn1 0.000 0.000 0.000
Zn2 0.500 0.007 0.350
Zn3 0.500 0.350 0.007
Ni1 0.000 0.510 0.835
Ni2 0.000 0.835 0.510
Ni3 0.500 0.504 0.504


Entry 20:
First-principles (PBE-GGA) data for a geometry-optimized Zn2Ni structure, as listed in Alexandria via LeMat-Bulk.

Space group: P4/mmm, No. 123
Crystal system: tetragonal
E_form, eV per atom: -0.180

abc: 4.189 4.189 2.614
angles: 90.00 90.00 90.00
Positions (direct):
Zn1 0.000 0.500 0.000
Zn2 0.500 0.000 0.000
Ni1 0.000 0.000 0.500


Entry 21:
First-principles (PBE-GGA) data for a geometry-optimized Zn2Ni structure, as listed in Alexandria via LeMat-Bulk.

Space group: Cm, No. 8
Crystal system: monoclinic
E_form, eV per atom: -0.136

abc: 4.965 4.965 6.215
angles: 103.88 103.88 31.58
Positions (direct):
Zn1 0.000 0.000 0.000
Zn2 0.056 0.056 0.593
Zn3 0.373 0.373 0.286
Zn4 0.723 0.723 0.929
Ni1 0.336 0.336 0.668
Ni2 0.658 0.658 0.322


Entry 22:
First-principles (PBE-GGA) data for a geometry-optimized Zn3Ni structure, as listed in Alexandria via LeMat-Bulk.

Space group: R-3m, No. 166
Crystal system: trigonal
E_form, eV per atom: -0.081

abc: 4.903 4.903 4.903
angles: 116.85 116.85 116.85
Positions (direct):
Zn1 0.000 0.500 0.500
Zn2 0.500 0.000 0.500
Zn3 0.500 0.500 0.000
Ni1 0.000 0.000 0.000


Entry 23:
First-principles (PBE-GGA) data for a geometry-optimized Zn5Ni24 structure, as listed in Alexandria via LeMat-Bulk.

Space group: I-43m, No. 217
Crystal system: cubic
E_form, eV per atom: -0.001

abc: 7.565 7.565 7.565
angles: 109.47 109.47 109.47
Positions (direct):
Zn1 0.000 0.000 0.000
Zn2 0.000 0.000 0.362
Zn3 0.000 0.362 0.000
Zn4 0.362 0.000 0.000
Zn5 0.638 0.638 0.638
Ni1 0.000 0.319 0.594
Ni2 0.000 0.594 0.319
Ni3 0.000 0.624 0.810
Ni4 0.000 0.810 0.624
Ni5 0.186 0.376 0.376
Ni6 0.190 0.190 0.814
Ni7 0.190 0.814 0.190
Ni8 0.275 0.681 0.681
Ni9 0.319 0.000 0.594
Ni10 0.319 0.594 0.000
Ni11 0.376 0.186 0.376
Ni12 0.376 0.376 0.186
Ni13 0.406 0.406 0.725
Ni14 0.406 0.725 0.406
Ni15 0.594 0.000 0.319
Ni16 0.594 0.319 0.000
Ni17 0.624 0.000 0.810
Ni18 0.624 0.810 0.000
Ni19 0.681 0.275 0.681
Ni20 0.681 0.681 0.275
Ni21 0.725 0.406 0.406
Ni22 0.810 0.000 0.624
Ni23 0.810 0.624 0.000
Ni24 0.814 0.190 0.190